Version one
# Sc2GeO, optimized geometry, DFT PBE
data_Sc2GeO
_cell_length_a 8.119
_cell_length_b 3.725
_cell_length_c 10.291
_cell_angle_alpha 90.00
_cell_angle_beta 90.00
_cell_angle_gamma 90.00
_space_group_name_H-M_alt 'P n m a'
_space_group_IT_number 62
loop_
_space_group_symop_operation_xyz
'x,y,z'
'-x,-y,-z'
'-x+1/2,-y,z+1/2'
'x+1/2,y,-z+1/2'
'x+1/2,-y+1/2,-z+1/2'
'-x+1/2,y+1/2,z+1/2'
'-x,y+1/2,-z'
'x,-y+1/2,z'
loop_
_atom_site_label
_atom_site_fract_x
_atom_site_fract_y
_atom_site_fract_z
_atom_site_occupancy
Sc1 0.020 0.250 0.234 1
Sc2 0.158 0.750 0.483 1
Ge1 0.234 0.250 0.706 1
O1 0.070 0.250 0.425 1
# Magnetic moment ... 0.0 μB/f.u.
# Crystal system ... orthorhombic

Version two
# Sc2GeO, optimized geometry, DFT PBE
data_Sc2GeO
_cell_length_a 4.1889
_cell_length_b 4.1889
_cell_length_c 19.3814
_cell_angle_alpha 90.00
_cell_angle_beta 90.00
_cell_angle_gamma 120.00
_space_group_name_H-M_alt 'R -3 m'
_space_group_IT_number 166
_space_group_name_Hall '-R 3 2"'
loop_
_atom_site_label
_atom_site_fract_x
_atom_site_fract_y
_atom_site_fract_z
_atom_site_occupancy
Sc1 0.0000 0.0000 0.0972 1
Ge1 0.0000 0.0000 0.5000 1
O1 0.0000 0.0000 0.0000 1
# Magnetic moment ... 0.0 μB/f.u.
# Crystal system ... trigonal

version one is preferred energetically. Next in line: 256 meV/atom higher.

Version one
# GeSeO, optimized geometry, DFT PBE
data_GeSeO
_cell_length_a 5.126
_cell_length_b 5.680
_cell_length_c 6.600
_cell_angle_alpha 113.03
_cell_angle_beta 90.57
_cell_angle_gamma 116.81
_space_group_name_H-M_alt 'P 1'
_space_group_IT_number 1
loop_
_space_group_symop_operation_xyz
'x,y,z'
loop_
_atom_site_label
_atom_site_fract_x
_atom_site_fract_y
_atom_site_fract_z
_atom_site_occupancy
Ge1 0.000 0.000 0.000 1
Ge2 0.296 0.592 0.999 1
Se1 0.121 0.118 0.690 1
Se2 0.308 0.475 0.309 1
O1 0.011 0.693 0.000 1
O2 0.614 0.899 0.998 1
# Magnetic moment ... 0.0 μB/f.u.
# Crystal system ... triclinic

Version two
# GeSeO, optimized geometry, DFT PBE
data_GeSeO
_cell_length_a 2.905
_cell_length_b 4.402
_cell_length_c 5.283
_cell_angle_alpha 90.00
_cell_angle_beta 90.23
_cell_angle_gamma 90.00
_space_group_name_H-M_alt 'P 1 m 1'
_space_group_IT_number 6
loop_
_space_group_symop_operation_xyz
'x,y,z'
'x,-y,z'
loop_
_atom_site_label
_atom_site_fract_x
_atom_site_fract_y
_atom_site_fract_z
_atom_site_occupancy
Ge1 0.000 0.000 0.000 1
Se1 0.998 0.500 0.759 1
O1 0.502 0.000 0.205 1
# Magnetic moment ... 0.0 μB/f.u.
# Crystal system ... monoclinic

version one is preferred energetically. Next in line: 162 meV/atom higher.

Version one
# GeSe3O, optimized geometry, DFT PBE
data_GeSe3O
_cell_length_a 4.943
_cell_length_b 4.943
_cell_length_c 4.943
_cell_angle_alpha 90.00
_cell_angle_beta 90.00
_cell_angle_gamma 90.00
_space_group_name_H-M_alt 'P m -3 m'
_space_group_IT_number 221
_space_group_name_Hall '-P 4 2 3'
loop_
_atom_site_label
_atom_site_fract_x
_atom_site_fract_y
_atom_site_fract_z
_atom_site_occupancy
Ge1 0.000 0.000 0.000 1
Se1 0.000 0.000 0.500 1
O1 0.500 0.500 0.500 1
# Magnetic moment ... 0.0 μB/f.u.
# Crystal system ... cubic

Version two
# GeSe3O, optimized geometry, DFT PBE
data_GeSe3O
_cell_length_a 4.547
_cell_length_b 4.547
_cell_length_c 4.547
_cell_angle_alpha 90.00
_cell_angle_beta 90.00
_cell_angle_gamma 90.00
_space_group_name_H-M_alt 'P m -3 m'
_space_group_IT_number 221
_space_group_name_Hall '-P 4 2 3'
loop_
_atom_site_label
_atom_site_fract_x
_atom_site_fract_y
_atom_site_fract_z
_atom_site_occupancy
Ge1 0.000 0.000 0.000 1
Se1 0.000 0.500 0.500 1
O1 0.500 0.500 0.500 1
# Magnetic moment ... 0.0 μB/f.u.
# Crystal system ... cubic

version two is preferred energetically. Next in line: 723 meV/atom higher.